Entry 1:
Material: Nd2Sm2Sb3
Method: DFT, PBE
State: relaxed

Values from the calculation:
- formation energy (no corrections) (eV per atom) = -0.908

Lattice parameters (Å, degrees): 4.476 7.611 7.587 99.22 90.03 107.15
Fractional positions:
Sm1 0.122 0.246 0.379
Sb1 0.256 0.511 0.746
Sb2 0.744 0.489 0.254
Sm2 0.878 0.754 0.621
Sb3 0.000 0.000 0.000
Nd1 0.624 0.248 0.868
Nd2 0.376 0.752 0.132



Entry 2:
Material: SrIn2Te2
Method: DFT, PBE
State: relaxed

Values from the calculation:
- formation energy (no corrections) (eV per atom) = -0.554

Lattice parameters (Å, degrees): 5.958 5.958 6.347 62.01 62.01 90.00
Fractional positions:
Sr1 0.000 0.000 0.000
In1 0.349 0.349 0.301
Te1 0.750 0.250 0.500
In2 0.651 0.651 0.699
Te2 0.250 0.750 0.500



Entry 3:
Material: NaCaCdP
Method: DFT, PBE
State: relaxed

Values from the calculation:
- energy relative to the elements (eV per atom) = -0.397

Lattice parameters (Å, degrees): 5.108 5.108 5.108 60.00 60.00 60.00
Fractional positions:
Cd1 0.000 0.000 0.000
P1 0.500 0.500 0.500
Na1 0.750 0.750 0.750
Ca1 0.250 0.250 0.250



Entry 4:
Material: In2AuS3
Method: DFT, PBE
State: relaxed

Values from the calculation:
- formation energy (no corrections) (eV per atom) = -0.273

Lattice parameters (Å, degrees): 5.354 6.619 11.355 60.22 101.59 67.81
Fractional positions:
In1 0.179 0.344 0.333
S1 0.873 0.888 0.147
S2 0.621 0.442 0.243
S3 0.127 0.112 0.853
Au1 0.794 0.473 0.047
In2 0.821 0.656 0.667
In3 0.658 0.042 0.861
In4 0.342 0.958 0.139
Au2 0.206 0.527 0.953
S4 0.379 0.558 0.757
S5 0.560 0.138 0.597
S6 0.440 0.862 0.403



Entry 5:
Material: Ca4Y3HoSe8
Method: DFT, PBE
State: relaxed

Values from the calculation:
- formation energy (no corrections) (eV per atom) = -1.880

Lattice parameters (Å, degrees): 8.214 8.323 8.214 119.57 120.00 90.00
Fractional positions:
Se1 0.250 0.255 0.002
Ca1 0.500 0.000 0.500
Y1 0.500 0.500 0.500
Y2 0.000 0.500 0.500
Ca2 0.500 0.000 0.000
Ca3 0.000 0.000 0.500
Se2 0.248 0.745 0.998
Se3 0.752 0.254 0.504
Se4 0.752 0.255 0.002
Ca4 0.000 0.000 0.000
Ho1 0.000 0.500 0.000
Se5 0.750 0.745 0.998
Se6 0.248 0.746 0.496
Se7 0.749 0.747 0.498
Se8 0.251 0.253 0.502
Y3 0.500 0.500 0.000



Entry 6:
Material: CrIrPb2
Method: DFT, PBE
State: relaxed

Values from the calculation:
- energy relative to the elements (eV per atom) = 0.777

Lattice parameters (Å, degrees): 4.745 4.745 4.745 60.00 60.00 60.00
Fractional positions:
Ir1 0.500 0.500 0.500
Pb1 0.750 0.750 0.750
Pb2 0.250 0.250 0.250
Cr1 0.000 0.000 0.000



Entry 7:
Material: FeAsRh2
Method: DFT, PBE
State: relaxed

Values from the calculation:
- energy relative to the elements (eV per atom) = -0.045

Lattice parameters (Å, degrees): 4.801 4.801 4.801 134.02 134.02 67.06
Fractional positions:
Fe1 0.750 0.250 0.500
As1 0.500 0.500 0.000
Rh1 0.250 0.750 0.500
Rh2 0.000 0.000 0.000



Entry 8:
Material: Pa4P2OsSe
Method: DFT, PBE
State: relaxed

Values from the calculation:
- formation energy (no corrections) (eV per atom) = -1.015

Lattice parameters (Å, degrees): 3.917 6.989 7.018 71.43 90.00 90.00
Fractional positions:
P1 0.000 0.000 0.000
P2 0.500 0.000 0.500
Pa1 0.500 0.758 0.236
Se1 0.000 0.500 0.500
Os1 0.500 0.500 0.000
Pa2 0.000 0.747 0.763
Pa3 0.500 0.242 0.764
Pa4 0.000 0.253 0.237



Entry 9:
Material: BeCdGe
Method: DFT, PBE
State: relaxed

Values from the calculation:
- energy relative to the elements (eV per atom) = 0.197

Lattice parameters (Å, degrees): 6.887 4.585 6.852 90.00 93.81 90.00
Fractional positions:
Cd1 0.622 0.500 0.324
Be1 0.000 0.747 0.500
Be2 0.000 0.247 0.000
Ge1 0.826 0.000 0.240
Cd2 0.378 0.000 0.176
Cd3 0.378 0.500 0.676
Ge2 0.174 0.000 0.760
Be3 0.000 0.253 0.500
Be4 0.000 0.753 0.000
Cd4 0.622 0.000 0.824
Ge3 0.174 0.500 0.260
Ge4 0.826 0.500 0.740



Entry 10:
Material: K2AlRe
Method: DFT, PBE
State: relaxed

Values from the calculation:
- energy relative to the elements (eV per atom) = 0.682

Lattice parameters (Å, degrees): 10.457 10.457 4.266 81.51 81.51 16.05
Fractional positions:
K1 0.603 0.603 0.420
Al1 0.250 0.250 0.250
K2 0.897 0.897 0.080
Re1 0.750 0.750 0.750



Entry 11:
Material: CePr2Lu
Method: DFT, PBE
State: relaxed

Values from the calculation:
- energy relative to the elements (eV per atom) = 0.076

Lattice parameters (Å, degrees): 5.039 5.107 5.107 90.00 90.00 90.00
Fractional positions:
Pr1 0.000 0.500 0.000
Pr2 0.000 0.000 0.500
Lu1 0.500 0.500 0.500
Ce1 0.500 0.000 0.000



Entry 12:
Material: CrCo3Pb
Method: DFT, PBE
State: relaxed

Values from the calculation:
- energy relative to the elements (eV per atom) = 1.036

Lattice parameters (Å, degrees): 4.295 4.295 4.295 90.00 90.00 90.00
Fractional positions:
Co1 0.000 0.500 0.000
Co2 0.500 0.000 0.000
Pb1 0.500 0.500 0.500
Cr1 0.000 0.000 0.000
Co3 0.000 0.000 0.500